Record 1
Density functional theory data (PBE) for Ac2Si3Au5 after structural relaxation.

The structure in extended XYZ format:
```
10
Lattice="4.733 0.000 0.000 0.000 4.733 0.000 0.000 0.000 9.893" Properties=species:S:1:pos:R:3 pbc="T T T"
Ac 0.000 2.366 2.459
Ac 2.366 0.000 7.434
Si 0.000 2.366 5.893
Si 2.366 0.000 4.000
Si 2.366 2.366 4.947
Au 0.000 0.000 0.000
Au 0.000 0.000 4.947
Au 0.000 2.366 8.300
Au 2.366 0.000 1.594
Au 2.366 2.366 0.000
```

## Properties
ΔE to the lowest computed polymorph   101.6 meV per atom
Formation energy (no corrections)   -0.51 eV/atom
Energy   -46.01 eV/f.u.

***

Record 2
Density functional theory data (PBE) for In2TeI after structural relaxation.

The structure in extended XYZ format:
```
12
Lattice="4.908 0.000 0.000 -2.454 4.250 0.000 0.000 0.000 26.756" Properties=species:S:1:pos:R:3 pbc="T T T"
In 0.000 0.000 2.985
In 0.000 0.000 23.771
In 0.000 2.833 14.852
In 0.000 2.833 20.823
In 2.454 1.417 5.933
In 2.454 1.417 11.904
Te 0.000 0.000 13.378
Te 0.000 2.833 4.459
Te 2.454 1.417 22.297
I 0.000 0.000 0.000
I 0.000 2.833 17.837
I 2.454 1.417 8.919
```

## Properties
ΔE to the lowest computed polymorph   83.3 meV per atom
Formation energy (no corrections)   -0.23 eV/atom
Energy   -11.09 eV/f.u.

***

Record 3
Density functional theory data (PBE) for Re3TcO after structural relaxation.

The structure in extended XYZ format:
```
5
Lattice="4.661 0.000 0.000 0.000 4.661 0.000 0.000 0.000 4.661" Properties=species:S:1:pos:R:3 pbc="T T T"
Re 0.000 0.000 2.331
Re 0.000 2.331 0.000
Re 2.331 0.000 0.000
Tc 0.000 0.000 0.000
O 2.331 2.331 2.331
```

## Properties
ΔE to the lowest computed polymorph   2444.6 meV per atom
Formation energy (no corrections)   2.83 eV/atom
Energy   -38.53 eV/f.u.

***

Record 4
Density functional theory data (PBE) for TmZnSb2 after structural relaxation.

The structure in extended XYZ format:
```
12
Lattice="4.195 0.000 0.000 -2.097 3.633 0.000 0.000 0.000 20.883" Properties=species:S:1:pos:R:3 pbc="T T T"
Tm 0.000 0.000 0.000
Tm 0.000 2.422 13.922
Tm 2.097 1.211 6.961
Zn 0.000 0.000 10.441
Zn 0.000 2.422 3.480
Zn 2.097 1.211 17.402
Sb 0.000 0.000 5.052
Sb 0.000 0.000 15.831
Sb 0.000 2.422 8.870
Sb 0.000 2.422 18.974
Sb 2.097 1.211 1.909
Sb 2.097 1.211 12.013
```

## Properties
Formation energy (no corrections)   -0.27 eV/atom
Energy   -15.09 eV/f.u.

***

Record 5
Density functional theory data (PBE) for InI2OF after structural relaxation.

The structure in extended XYZ format:
```
5
Lattice="4.927 0.000 0.000 0.000 4.927 0.000 0.000 0.000 5.746" Properties=species:S:1:pos:R:3 pbc="T T T"
In 0.000 0.000 0.000
I 0.000 2.464 2.873
I 2.464 0.000 2.873
O 2.464 2.464 0.000
F 2.464 2.464 2.873
```

## Properties
ΔE to the lowest computed polymorph   419.0 meV per atom
Formation energy (no corrections)   0.19 eV/atom
Energy   -11.70 eV/f.u.

***

Record 6
Density functional theory data (PBE) for NaAc2Zn after structural relaxation.

The structure in extended XYZ format:
```
16
Lattice="8.132 0.000 0.000 0.000 8.132 0.000 0.000 0.000 8.132" Properties=species:S:1:pos:R:3 pbc="T T T"
Na 0.000 0.000 0.000
Na 0.000 4.066 4.066
Na 4.066 0.000 4.066
Na 4.066 4.066 0.000
Ac 2.033 2.033 2.033
Ac 2.033 2.033 6.099
Ac 2.033 6.099 2.033
Ac 2.033 6.099 6.099
Ac 6.099 2.033 2.033
Ac 6.099 2.033 6.099
Ac 6.099 6.099 2.033
Ac 6.099 6.099 6.099
Zn 0.000 0.000 4.066
Zn 0.000 4.066 0.000
Zn 4.066 0.000 0.000
Zn 4.066 4.066 4.066
```

## Properties
ΔE to the lowest computed polymorph   91.0 meV per atom
Formation enthalpy at 0 K   0.0431 eV per atom
Energy   -10.64 eV/f.u.

***

Record 7
Density functional theory data (PBE) for Ca2BeIr2 after structural relaxation.

The structure in extended XYZ format:
```
10
Lattice="3.342 0.000 0.000 0.000 6.075 0.000 0.000 0.000 9.112" Properties=species:S:1:pos:R:3 pbc="T T T"
Ca 0.000 0.000 1.929
Ca 0.000 0.000 7.184
Ca 1.671 3.038 2.628
Ca 1.671 3.038 6.485
Be 0.000 3.038 0.000
Be 1.671 0.000 4.556
Ir 0.000 1.541 4.556
Ir 0.000 4.534 4.556
Ir 1.671 1.497 0.000
Ir 1.671 4.578 0.000
```

## Properties
ΔE to the lowest computed polymorph   0.0 meV per atom
Formation enthalpy at 0 K   -0.3960 eV per atom
Energy   -27.43 eV/f.u.

***

Record 8
Density functional theory data (PBE) for Tb6DyEr2Tm after structural relaxation.

The structure in extended XYZ format:
```
20
Lattice="4.506 -7.476 0.000 4.506 7.476 0.000 -1.239 0.000 9.407" Properties=species:S:1:pos:R:3 pbc="T T T"
Tb 2.399 4.125 1.743
Tb 3.263 4.719 5.223
Tb 3.891 4.719 8.888
Tb 3.117 1.604 3.577
Tb 5.994 4.125 2.960
Tb 5.277 1.604 1.126
Tb 2.497 -1.604 8.280
Tb 1.780 -4.125 6.447
Tb 4.657 -1.604 5.830
Tb 3.882 -4.719 0.519
Tb 4.511 -4.719 4.184
Tb 5.374 -4.125 7.664
Dy 4.197 7.116 2.352
Dy 3.577 -7.116 7.055
Er 2.204 0.775 0.421
Er 1.585 -0.775 5.124
Er 6.189 0.775 4.283
Er 5.569 -0.775 8.986
Tm 3.577 1.355 7.055
Tm 4.197 -1.355 2.352
```

## Properties
Formation enthalpy at 0 K   0.1196 eV per atom
Energy   -44.79 eV/f.u.

***

Please write out number 6 again, unchanged.
Density functional theory data (PBE) for NaAc2Zn after structural relaxation.

The structure in extended XYZ format:
```
16
Lattice="8.132 0.000 0.000 0.000 8.132 0.000 0.000 0.000 8.132" Properties=species:S:1:pos:R:3 pbc="T T T"
Na 0.000 0.000 0.000
Na 0.000 4.066 4.066
Na 4.066 0.000 4.066
Na 4.066 4.066 0.000
Ac 2.033 2.033 2.033
Ac 2.033 2.033 6.099
Ac 2.033 6.099 2.033
Ac 2.033 6.099 6.099
Ac 6.099 2.033 2.033
Ac 6.099 2.033 6.099
Ac 6.099 6.099 2.033
Ac 6.099 6.099 6.099
Zn 0.000 0.000 4.066
Zn 0.000 4.066 0.000
Zn 4.066 0.000 0.000
Zn 4.066 4.066 4.066
```

## Properties
ΔE to the lowest computed polymorph   91.0 meV per atom
Formation enthalpy at 0 K   0.0431 eV per atom
Energy   -10.64 eV/f.u.